[1]
The following is a DFT calculation (PBE) of crystalline La5SmEr6 at its relaxed geometry.

Lattice parameters (Å, degrees): 16.4183 9.8891 5.2092 90.00 108.43 90.00
Last column: nearest neighbours and their distance in Å.
Space group C2/m (No. 12)
Unique sites:
La1 0.0000 0.0000 0.0000 [2 per cell]  8 Er 3.58-3.60, 4 La 3.68
La2 0.1653 0.5000 0.6654 [4 per cell]  8 Er 3.56-3.61, 2 Sm 3.66, 2 La 3.69
La3 0.1669 0.0000 0.6670 [4 per cell]  8 Er 3.58-3.60, 4 La 3.68-3.69
Sm1 0.0000 0.5000 0.0000 [2 per cell]  8 Er 3.57-3.58, 4 La 3.66
Er1 0.0000 0.2509 0.5000 [4 per cell]  6 La 3.56-3.60, 2 Sm 3.58, 4 Er 3.67
Er2 0.1660 0.2506 0.1660 [8 per cell]  1 Sm 3.57, 7 La 3.58-3.61, 4 Er 3.67-3.69

## Properties
The value obtained for the volume is 802 Å³ per cell. For the raw total energy, the calculation gives -112.85 eV per cell.

[2]
The following is a DFT calculation (PBE) of crystalline Ac3Al8Pt3 at its relaxed geometry.

Lattice parameters (Å, degrees): 16.5651 4.6310 9.2014 90.00 123.32 90.00
Last column: nearest neighbours and their distance in Å.
Space group C2/m (No. 12)
Unique sites:
Ac1 0.0000 0.0000 0.0000 [2 per cell]  8 Al 3.24-3.36, 4 Pt 3.41
Ac2 0.2151 0.5000 0.7012 [4 per cell]  11 Al 3.16-3.41, 3 Pt 3.34-3.44
Al1 0.0079 0.5000 0.6770 [4 per cell]  3 Pt 2.59-2.79, 1 Al 2.82
Al2 0.1285 0.0000 0.4208 [4 per cell]  1 Pt 2.60, 2 Al 2.74
Al3 0.1491 0.0000 0.8620 [4 per cell]  4 Pt 2.63-2.86
Al4 0.1505 0.5000 0.2861 [4 per cell]  1 Pt 2.64, 3 Al 2.74-2.82
Pt1 0.0000 0.0000 0.5000 [2 per cell]  8 Al 2.60-2.86
Pt2 0.1509 0.5000 0.9993 [4 per cell]  5 Al 2.59-2.82

## Properties
The value obtained for the volume is 590 Å³ per cell. For the raw total energy, the calculation gives -140.77 eV per cell.

[3]
The following is a DFT calculation (PBE) of crystalline ZrCrBr2 at its relaxed geometry.

Lattice parameters (Å, degrees): 6.3758 6.3758 11.0389 90.00 90.00 90.00
Last column: nearest neighbours and their distance in Å.
Space group I-42d (No. 122)
Unique sites:
Zr1 0.0000 0.0000 0.0000 [4 per cell]  4 Br 2.74
Cr1 0.0000 0.0000 0.5000 [4 per cell]  4 Br 2.55
Br1 0.2246 0.2500 0.6250 [8 per cell]  2 Cr 2.55, 2 Zr 2.74

## Properties
The value obtained for the volume is 449 Å³ per cell. The value obtained for the excess energy over the best structure of this formula in the dataset is 641 meV/atom.

[4]
The following is a DFT calculation (PBE) of crystalline Pa3Al7Ir4 at its relaxed geometry.

Lattice parameters (Å, degrees): 15.2309 4.2385 9.3200 90.00 122.80 90.00
Last column: nearest neighbours and their distance in Å.
Space group C2/m (No. 12)
Unique sites:
Pa1 0.0000 0.0000 0.0000 [2 per cell]  2 Ir 2.81
Pa2 0.1957 0.5000 0.6995 [4 per cell]  4 Ir 2.95-3.11, 10 Al 3.08-3.29
Al1 0.0000 0.0000 0.5000 [2 per cell]  2 Ir 2.66, 6 Al 2.79-2.87
Al2 0.0070 0.5000 0.2989 [4 per cell]  3 Ir 2.49-2.63
Al3 0.1546 0.0000 0.4267 [4 per cell]  3 Ir 2.59-2.68, 3 Al 2.79-2.84
Al4 0.1813 0.5000 0.0205 [4 per cell]  4 Ir 2.53-2.68, 1 Al 2.80
Ir1 0.1120 0.0000 0.8402 [4 per cell]  6 Al 2.55-2.68, 1 Pa 2.81
Ir2 0.1612 0.5000 0.2724 [4 per cell]  5 Al 2.49-2.68

## Properties
The value obtained for the volume is 506 Å³ per cell. For the raw total energy, the calculation gives -201.76 eV per cell.